{"formula": "AgAs2W", "functional": "PBE-GGA", "state": "relaxed", "cell": [[-3.0111, 1.0061, -0.7160], [-1.4071, -4.8623, -0.9150], [-1.1018, -0.4375, 4.0190]], "species": ["As", "As", "Ag", "W"], "fractional_positions": [[0.0000, 0.0000, 0.0000], [0.5000, 0.5000, 0.0000], [0.0000, 0.5000, 0.5000], [0.5000, 0.0000, 0.5000]], "n_ef_per_ev_atom": 0.856, "total_energy_ev_per_atom": -5.594, "delta_e_f_ev_per_atom": 0.681}

=====

{"formula": "AgAsW", "functional": "PBE-GGA", "state": "relaxed", "cell": [[7.6605, -0.0366, 0.0274], [6.9669, 2.7168, -0.0002], [0.6936, -0.8034, 2.6338]], "species": ["As", "Ag", "W"], "fractional_positions": [[0.6884, 0.6884, 0.3116], [0.9874, 0.9874, 0.0126], [0.3242, 0.3242, 0.6758]], "n_ef_per_ev_atom": 0.400, "total_energy_ev_per_atom": -6.363, "delta_e_f_ev_per_atom": 0.455}

=====

{"formula": "AgAs2W", "functional": "PBE-GGA", "state": "relaxed", "cell": [[-3.9650, 0.6893, 2.1054], [-4.0669, -1.9765, 0.4280], [0.9843, -2.8768, 4.5121]], "species": ["As", "As", "Ag", "W"], "fractional_positions": [[0.0260, 0.0260, 0.9523], [0.4740, 0.4740, 0.5477], [0.2500, 0.2500, 0.2500], [0.7500, 0.7500, 0.7500]], "n_ef_per_ev_atom": 0.665, "total_energy_ev_per_atom": -5.926, "delta_e_f_ev_per_atom": 0.350}

=====

{"formula": "Ag3AsW", "functional": "PBE-GGA", "state": "relaxed", "cell": [[5.0611, 0.0000, 0.0000], [0.0000, 5.0611, 0.0000], [0.0000, 0.0000, 5.0611]], "species": ["As", "Ag", "Ag", "Ag", "W"], "fractional_positions": [[0.5000, 0.5000, 0.5000], [0.0000, 0.5000, 0.0000], [0.0000, 0.0000, 0.5000], [0.5000, 0.0000, 0.0000], [0.0000, 0.0000, 0.0000]], "n_ef_per_ev_atom": 1.515, "total_energy_ev_per_atom": -3.364, "delta_e_f_ev_per_atom": 1.867}

=====

{"formula": "Ag2AsW", "functional": "PBE-GGA", "state": "relaxed", "cell": [[2.7790, 0.0000, 0.0000], [0.0000, 4.6749, 0.0000], [0.0000, 0.0000, 5.3644]], "species": ["As", "Ag", "Ag", "W"], "fractional_positions": [[0.5000, 0.5000, 0.2500], [0.0000, 0.0000, 0.9938], [0.0000, 0.0000, 0.5062], [0.5000, 0.5000, 0.7500]], "n_ef_per_ev_atom": 0.706, "total_energy_ev_per_atom": -5.223, "delta_e_f_ev_per_atom": 0.603}

=====

{"formula": "Ag2AsW", "functional": "PBE-GGA", "state": "relaxed", "cell": [[5.5238, 0.0221, 0.0012], [2.5523, 4.8988, -0.0012], [-3.4901, -3.3597, 2.6541]], "species": ["As", "Ag", "Ag", "W"], "fractional_positions": [[0.5231, 0.5231, 0.0000], [0.9904, 0.9904, 0.0000], [0.2617, 0.7617, 0.5000], [0.7248, 0.2248, 0.5000]], "n_ef_per_ev_atom": 0.819, "total_energy_ev_per_atom": -5.153, "delta_e_f_ev_per_atom": 0.674}

=====

{"formula": "AgAsW3", "functional": "PBE-GGA", "state": "relaxed", "cell": [[-1.8768, -1.3030, -4.2273], [-2.8944, -3.1110, 2.2439], [-3.3453, 3.4227, 0.4302]], "species": ["As", "Ag", "W", "W", "W"], "fractional_positions": [[0.5000, 0.5000, 0.5000], [0.0000, 0.0000, 0.0000], [0.0000, 0.5000, 0.0000], [0.0000, 0.0000, 0.5000], [0.5000, 0.0000, 0.0000]], "n_ef_per_ev_atom": 1.674, "total_energy_ev_per_atom": -6.379, "delta_e_f_ev_per_atom": 2.893}

=====

{"formula": "AgAs2W", "functional": "PBE-GGA", "state": "relaxed", "cell": [[-0.5195, 4.1199, 2.0312], [-1.9289, 0.2838, 4.1915], [2.5883, 1.1130, 3.6649]], "species": ["As", "As", "Ag", "W"], "fractional_positions": [[0.0000, 0.0000, 0.0000], [0.2500, 0.2500, 0.2500], [0.5000, 0.5000, 0.5000], [0.7500, 0.7500, 0.7500]], "n_ef_per_ev_atom": 0.981, "total_energy_ev_per_atom": -5.406, "delta_e_f_ev_per_atom": 0.870}